No. 1
# Ta2Ag2PtS6 PBE relaxed
data_Ta2Ag2PtS6
_space_group_name_H-M_alt 'C 1 2/m 1'
_space_group_IT_number 12
_cell_length_a 5.801
_cell_length_b 10.889
_cell_length_c 7.231
_cell_angle_alpha 90.00
_cell_angle_beta 105.65
_cell_angle_gamma 90.00
loop_
_space_group_symop_operation_xyz
'x,y,z'
'-x,-y,-z'
'-x,y,-z'
'x,-y,z'
'x+1/2,y+1/2,z'
'-x+1/2,-y+1/2,-z'
'-x+1/2,y+1/2,-z'
'x+1/2,-y+1/2,z'
loop_
_atom_site_label
_atom_site_fract_x
_atom_site_fract_y
_atom_site_fract_z
_atom_site_occupancy
Ta1 0.000 0.135 0.000 1
Ag1 0.000 0.307 0.500 1
Pt1 0.000 0.500 0.000 1
S1 0.233 0.500 0.766 1
S2 0.236 0.317 0.203 1
# energy relative to the elements, uncorrected = -471 kJ/mol of formula units
# density = 7287 kg/m3



No. 2
# TcAg2PtS PBE relaxed
data_TcAg2PtS
_space_group_name_H-M_alt 'P 4/m m m'
_space_group_IT_number 123
_space_group_name_Hall '-P 4 2'
_cell_length_a 4.624
_cell_length_b 4.624
_cell_length_c 4.380
_cell_angle_alpha 90.00
_cell_angle_beta 90.00
_cell_angle_gamma 90.00
loop_
_atom_site_label
_atom_site_fract_x
_atom_site_fract_y
_atom_site_fract_z
_atom_site_occupancy
Tc1 0.000 0.000 0.000 1
Ag1 0.000 0.500 0.500 1
Pt1 0.500 0.500 0.000 1
S1 0.000 0.000 0.500 1
# energy relative to the elements, uncorrected = 339 kJ/mol of formula units
# density = 9592 kg/m3



No. 3
# AgTePt2S PBE relaxed
data_AgTePt2S
_space_group_name_H-M_alt 'P 4/m m m'
_space_group_IT_number 123
_space_group_name_Hall '-P 4 2'
_cell_length_a 5.065
_cell_length_b 5.065
_cell_length_c 4.431
_cell_angle_alpha 90.00
_cell_angle_beta 90.00
_cell_angle_gamma 90.00
loop_
_atom_site_label
_atom_site_fract_x
_atom_site_fract_y
_atom_site_fract_z
_atom_site_occupancy
Ag1 0.000 0.000 0.000 1
Te1 0.500 0.500 0.500 1
Pt1 0.000 0.500 0.000 1
S1 0.000 0.000 0.500 1
# energy relative to the elements, uncorrected = 508 kJ/mol of formula units
# density = 9608 kg/m3



No. 4
# UAg2Pt2S6 PBE relaxed
data_UAg2Pt2S6
_space_group_name_H-M_alt 'C 1 2/m 1'
_space_group_IT_number 12
_cell_length_a 6.856
_cell_length_b 10.182
_cell_length_c 6.962
_cell_angle_alpha 90.00
_cell_angle_beta 107.76
_cell_angle_gamma 90.00
loop_
_space_group_symop_operation_xyz
'x,y,z'
'-x,-y,-z'
'-x,y,-z'
'x,-y,z'
'x+1/2,y+1/2,z'
'-x+1/2,-y+1/2,-z'
'-x+1/2,y+1/2,-z'
'x+1/2,-y+1/2,z'
loop_
_atom_site_label
_atom_site_fract_x
_atom_site_fract_y
_atom_site_fract_z
_atom_site_occupancy
U1 0.000 0.000 0.000 1
Ag1 0.000 0.150 0.500 1
Pt1 0.000 0.325 0.000 1
S1 0.190 0.500 0.190 1
S2 0.192 0.176 0.247 1
# energy relative to the elements, uncorrected = -545 kJ/mol of formula units
# density = 7435 kg/m3



No. 5
# Ag2PtWS PBE relaxed
data_Ag2PtWS
_space_group_name_H-M_alt 'P 4/m m m'
_space_group_IT_number 123
_space_group_name_Hall '-P 4 2'
_cell_length_a 4.590
_cell_length_b 4.590
_cell_length_c 4.478
_cell_angle_alpha 90.00
_cell_angle_beta 90.00
_cell_angle_gamma 90.00
loop_
_atom_site_label
_atom_site_fract_x
_atom_site_fract_y
_atom_site_fract_z
_atom_site_occupancy
Ag1 0.000 0.500 0.000 1
Pt1 0.000 0.000 0.500 1
W1 0.500 0.500 0.500 1
S1 0.500 0.500 0.000 1
# energy relative to the elements, uncorrected = 420 kJ/mol of formula units
# density = 11029 kg/m3



No. 6
# YAgPt2S PBE relaxed
data_YAgPt2S
_space_group_name_H-M_alt 'P 4/m m m'
_space_group_IT_number 123
_space_group_name_Hall '-P 4 2'
_cell_length_a 5.061
_cell_length_b 5.061
_cell_length_c 5.525
_cell_angle_alpha 90.00
_cell_angle_beta 90.00
_cell_angle_gamma 90.00
loop_
_atom_site_label
_atom_site_fract_x
_atom_site_fract_y
_atom_site_fract_z
_atom_site_occupancy
Y1 0.000 0.000 0.000 1
Ag1 0.000 0.000 0.500 1
Pt1 0.000 0.500 0.000 1
S1 0.500 0.500 0.500 1
# energy relative to the elements, uncorrected = 556 kJ/mol of formula units
# density = 7262 kg/m3



No. 7
# Ag2SbPt PBE relaxed
data_Ag2SbPt
_space_group_name_H-M_alt 'P 1 m 1'
_space_group_IT_number 6
_cell_length_a 3.440
_cell_length_b 3.686
_cell_length_c 6.030
_cell_angle_alpha 90.00
_cell_angle_beta 90.28
_cell_angle_gamma 90.00
loop_
_space_group_symop_operation_xyz
'x,y,z'
'x,-y,z'
loop_
_atom_site_label
_atom_site_fract_x
_atom_site_fract_y
_atom_site_fract_z
_atom_site_occupancy
Ag1 0.000 0.000 0.000 1
Ag2 0.499 0.500 0.781 1
Sb1 0.499 0.500 0.308 1
Pt1 0.000 0.000 0.510 1
# energy relative to the elements, uncorrected = -23 kJ/mol of formula units
# density = 11567 kg/m3



No. 8
# AgSb2Pt2 PBE relaxed
data_AgSb2Pt2
_space_group_name_H-M_alt 'I 4/m m m'
_space_group_IT_number 139
_space_group_name_Hall '-I 4 2'
_cell_length_a 3.889
_cell_length_b 3.889
_cell_length_c 14.774
_cell_angle_alpha 90.00
_cell_angle_beta 90.00
_cell_angle_gamma 90.00
loop_
_atom_site_label
_atom_site_fract_x
_atom_site_fract_y
_atom_site_fract_z
_atom_site_occupancy
Ag1 0.000 0.000 0.000 1
Sb1 0.000 0.000 0.381 1
Pt1 0.000 0.500 0.250 1
# energy relative to the elements, uncorrected = -34 kJ/mol of formula units
# density = 11023 kg/m3
# excess energy over the best structure of this formula in the dataset = 8.35 kJ per mole of atoms



No. 9
# AgSb2Pt PBE relaxed
data_AgSb2Pt
_space_group_name_H-M_alt 'F m -3 m'
_space_group_IT_number 225
_space_group_name_Hall '-F 4 2 3'
_cell_length_a 6.972
_cell_length_b 6.972
_cell_length_c 6.972
_cell_angle_alpha 90.00
_cell_angle_beta 90.00
_cell_angle_gamma 90.00
loop_
_atom_site_label
_atom_site_fract_x
_atom_site_fract_y
_atom_site_fract_z
_atom_site_occupancy
Ag1 0.000 0.000 0.000 1
Sb1 0.250 0.250 0.250 1
Pt1 0.000 0.000 0.500 1
# energy relative to the elements, uncorrected = 12 kJ/mol of formula units
# density = 10710 kg/m3
# excess energy over the best structure of this formula in the dataset = 17.03 kJ per mole of atoms



No. 10
# AgSb2Pt2 PBE relaxed
data_AgSb2Pt2
_space_group_name_H-M_alt 'P 4/m b m'
_space_group_IT_number 127
_space_group_name_Hall '-P 4 2ab'
_cell_length_a 7.761
_cell_length_b 7.761
_cell_length_c 3.432
_cell_angle_alpha 90.00
_cell_angle_beta 90.00
_cell_angle_gamma 90.00
loop_
_atom_site_label
_atom_site_fract_x
_atom_site_fract_y
_atom_site_fract_z
_atom_site_occupancy
Ag1 0.000 0.000 0.000 1
Sb1 0.165 0.335 0.000 1
Pt1 0.134 0.634 0.500 1
# energy relative to the elements, uncorrected = -8 kJ/mol of formula units
# density = 11914 kg/m3
# excess energy over the best structure of this formula in the dataset = 13.53 kJ per mole of atoms



No. 11
# AgSb2Pt PBE relaxed
data_AgSb2Pt
_space_group_name_H-M_alt 'C 1 2/m 1'
_space_group_IT_number 12
_cell_length_a 6.777
_cell_length_b 3.961
_cell_length_c 7.303
_cell_angle_alpha 90.00
_cell_angle_beta 108.21
_cell_angle_gamma 90.00
loop_
_space_group_symop_operation_xyz
'x,y,z'
'-x,-y,-z'
'-x,y,-z'
'x,-y,z'
'x+1/2,y+1/2,z'
'-x+1/2,-y+1/2,-z'
'-x+1/2,y+1/2,-z'
'x+1/2,-y+1/2,z'
loop_
_atom_site_label
_atom_site_fract_x
_atom_site_fract_y
_atom_site_fract_z
_atom_site_occupancy
Ag1 0.000 0.000 0.000 1
Sb1 0.237 0.000 0.715 1
Pt1 0.000 0.500 0.500 1
# energy relative to the elements, uncorrected = -56 kJ/mol of formula units
# density = 9746 kg/m3
# excess energy over the best structure of this formula in the dataset = 0.00 kJ per mole of atoms



No. 12
# AgSbPt3 PBE relaxed
data_AgSbPt3
_space_group_name_H-M_alt 'P m -3 m'
_space_group_IT_number 221
_space_group_name_Hall '-P 4 2 3'
_cell_length_a 4.884
_cell_length_b 4.884
_cell_length_c 4.884
_cell_angle_alpha 90.00
_cell_angle_beta 90.00
_cell_angle_gamma 90.00
loop_
_atom_site_label
_atom_site_fract_x
_atom_site_fract_y
_atom_site_fract_z
_atom_site_occupancy
Ag1 0.000 0.000 0.000 1
Sb1 0.500 0.500 0.500 1
Pt1 0.000 0.000 0.500 1
# energy relative to the elements, uncorrected = 580 kJ/mol of formula units
# density = 11618 kg/m3
# excess energy over the best structure of this formula in the dataset = 43.78 kJ per mole of atoms



- The highest energy relative to the elements, uncorrected belongs to which entry?
  AgSbPt3